DFT (GGA+U) results for a relaxed structure of HoMn3Tl2F12.

Output
Symmetry ... R-3m, No. 166
DOS at the Fermi energy ... 0.287 states/eV per cell
VASP energy ... -5.7862 eV/atom
Crystal system ... trigonal

a b c (Å): 7.9656 7.9656 7.9656
angles (deg): 58.18 58.18 58.18
Each line ends with the local moment (μB).
Fractional positions:
F: 0.0751 0.6689 0.0751  0.02
F: 0.3063 0.9479 0.3063  0.00
Ho: 0.0000 0.0000 0.0000  0.02
Tl: 0.3136 0.3136 0.3136  0.00
Mn: 0.5000 0.0000 0.0000  4.46
F: 0.6937 0.0521 0.6937  0.00
F: 0.6689 0.0751 0.0751  0.02
F: 0.6937 0.6937 0.0521  0.00
Mn: 0.0000 0.5000 0.0000  4.46
F: 0.9479 0.3063 0.3063  0.00
F: 0.3311 0.9249 0.9249  0.02
F: 0.3063 0.3063 0.9479  0.00
F: 0.9249 0.9249 0.3311  0.02
F: 0.9249 0.3311 0.9249  0.02
F: 0.0521 0.6937 0.6937  0.00
Tl: 0.6864 0.6864 0.6864  0.00
Mn: 0.0000 0.0000 0.5000  4.46
F: 0.0751 0.0751 0.6689  0.02